Material: CuAsOs3
Method: DFT, GGA-PBE
State: optimized geometry

abc: 4.5136 4.5136 4.5136
angles: 90.00 90.00 90.00
Closest atoms and distances in Å follow each position.
Space group Pm-3m (No. 221)
Asymmetric unit:
Cu 0.0000 0.0000 0.0000 x1  12 Os 3.19
As 0.5000 0.5000 0.5000 x1  6 Os 2.26
Os 0.0000 0.5000 0.5000 x3  2 As 2.26

* energy above the lowest structure with this stoichiometry: 0.0 meV/atom
* volume: 18.39 Å³/atom
* crystal system: cubic
* DFT formation energy: 1808.3 meV per atom
* E: -33.39 eV for the cell shown